The following is a DFT calculation (PBE-GGA) of a geometry-optimized La5PrDy2Tm structure.

Calculated values
E_tot (eV for the cell shown): -81.09
Crystal system: tetragonal
Calculated volume (Å³/cell): 647
E_form (kJ/mol of formula units): 246
Total magnetization (μB/cell): 0.00

Unit cell a=9.7793 b=9.7793 c=9.7793 alpha=121.33 beta=121.33 gamma=87.71
With the nearest neighbours (Å) after each atom.
Atoms (fractional coordinates):
La1 0.0000 0.0000 0.0000  2 Pr 3.53, 4 Dy 3.90, 8 La 3.94
La2 0.0666 0.5666 0.9033  1 Tm 3.18, 1 Dy 3.21, 1 La 3.50
La3 0.1633 0.0666 0.5000  1 Tm 3.18, 1 Dy 3.21, 1 La 3.50
La4 0.3367 0.8367 0.9033  1 Tm 3.18, 1 Dy 3.21, 1 La 3.50
La5 0.4334 0.3367 0.5000  1 Tm 3.18, 1 Dy 3.21, 1 La 3.50
La6 0.5000 0.5000 0.0000  2 Pr 3.53, 4 Dy 3.90, 8 La 3.94
La7 0.5666 0.6633 0.5000  1 Tm 3.18, 1 Dy 3.21, 1 La 3.50
La8 0.6633 0.1633 0.0967  1 Tm 3.18, 1 Dy 3.21, 1 La 3.50
La9 0.8367 0.9334 0.5000  1 Tm 3.18, 1 Dy 3.21, 1 La 3.50
La10 0.9334 0.4334 0.0967  1 Tm 3.18, 1 Dy 3.21, 1 La 3.50
Pr1 0.2500 0.2500 0.0000  10 La 3.53-3.81
Pr2 0.7500 0.7500 0.0000  10 La 3.53-3.81
Dy1 0.1079 0.3921 0.5000  1 Dy 2.92, 2 La 3.21
Dy2 0.3921 0.8921 0.2843  1 Dy 2.92, 2 La 3.21
Dy3 0.6079 0.1079 0.7157  1 Dy 2.92, 2 La 3.21
Dy4 0.8921 0.6079 0.5000  1 Dy 2.92, 2 La 3.21
Tm1 0.2500 0.7500 0.5000  4 La 3.18
Tm2 0.7500 0.2500 0.5000  4 La 3.18

The following is a DFT calculation (PBE-GGA) of a geometry-optimized MgCd2In4Hg2 structure.

Calculated values
E_tot (eV for the cell shown): -14.78
Crystal system: trigonal
Calculated volume (Å³/cell): 230
E_form (kJ/mol of formula units): 20
Total magnetization (μB/cell): 0.00

Unit cell a=3.2480 b=3.2480 c=25.2229 alpha=90.00 beta=90.00 gamma=120.00
With the nearest neighbours (Å) after each atom.
Atoms (fractional coordinates):
Mg1 0.0000 0.0000 0.0000  6 Cd 3.11-3.12, 6 Mg 3.25
Cd1 0.6667 0.3333 0.0982  3 Mg 3.11, 6 Cd 3.25, 3 In 3.29
Cd2 0.6667 0.3333 0.9010  1 In 3.04, 3 Mg 3.12, 6 Cd 3.25
In1 0.0000 0.0000 0.2055  6 In 3.25, 3 Cd 3.29, 3 Hg 3.41
In2 0.0000 0.0000 0.4348  9 In 3.25-3.52, 3 Hg 3.48
In3 0.6667 0.3333 0.5527  9 In 3.25-3.52, 3 Hg 3.45
In4 0.6667 0.3333 0.7803  1 Cd 3.04, 6 In 3.25, 3 Hg 3.41
Hg1 0.0000 0.0000 0.6675  6 Hg 3.25, 6 In 3.41-3.45
Hg2 0.6667 0.3333 0.3186  6 Hg 3.25, 6 In 3.41-3.48

The following is a DFT calculation (PBE-GGA) of a geometry-optimized KSbPt2 structure.

Calculated values
Raw formation energy (kcal/mol of atoms): 2.76
E_tot (eV for the cell shown): -16.82
Crystal system: monoclinic
Distance to the lowest polymorph of the same formula (meV/atom): 460
Calculated volume (Å³/cell): 82
Total magnetization (μB/cell): 0.00

Unit cell a=5.2296 b=5.2296 c=3.0063 alpha=90.13 beta=90.13 gamma=89.86
With the nearest neighbours (Å) after each atom.
Atoms (fractional coordinates):
K1 0.0000 0.0000 0.0000  2 K 3.01, 8 Pt 3.01-3.02
Sb1 0.5000 0.5000 0.0000  2 Sb 3.01, 8 Pt 3.01-3.02
Pt1 0.0000 0.5000 0.5000  2 Pt 3.01, 4 Sb 3.01-3.02, 4 K 3.01-3.02
Pt2 0.5000 0.0000 0.5000  2 Pt 3.01, 4 K 3.01-3.02, 4 Sb 3.01-3.02

The following is a DFT calculation (PBE-GGA) of a geometry-optimized Fe2NiIr structure.

Calculated values
E_tot (eV for the cell shown): -31.76
Crystal system: orthorhombic
Calculated volume (Å³/cell): 50
E_form (kJ/mol of formula units): -18
Total magnetization (μB/cell): 6.02

Unit cell a=4.4578 b=4.4578 c=2.6355 alpha=90.00 beta=90.00 gamma=108.21
With the nearest neighbours (Å) after each atom.
Atoms (fractional coordinates):
Fe1 0.0000 0.5000 0.0000  4 Ni 2.59, 4 Ir 2.59, 4 Fe 2.61-2.64
Fe2 0.5000 0.0000 0.0000  4 Ni 2.59, 4 Ir 2.59, 4 Fe 2.61-2.64
Ni1 0.0000 0.0000 0.5000  8 Fe 2.59, 2 Ir 2.61, 2 Ni 2.64
Ir1 0.5000 0.5000 0.5000  8 Fe 2.59, 2 Ni 2.61, 2 Ir 2.64

The following is a DFT calculation (PBE-GGA) of a geometry-optimized CaDy2VN4 structure.

Calculated values
Raw formation energy (kcal/mol of atoms): -30.16
E_tot (eV for the cell shown): -128.18
Crystal system: orthorhombic
Calculated volume (Å³/cell): 235
Total magnetization (μB/cell): 1.37

Unit cell a=6.0943 b=6.0943 c=11.8136 alpha=90.00 beta=90.00 gamma=147.59
With the nearest neighbours (Å) after each atom.
Atoms (fractional coordinates):
Ca1 0.0952 0.9048 0.7500  6 N 2.73-2.81
Ca2 0.9048 0.0952 0.2500  6 N 2.73-2.81
Dy1 0.3706 0.6294 0.5408  6 N 2.33-2.52
Dy2 0.3706 0.6294 0.9592  6 N 2.33-2.52
Dy3 0.6294 0.3706 0.0408  6 N 2.33-2.52
Dy4 0.6294 0.3706 0.4592  6 N 2.33-2.52
V1 0.1726 0.8274 0.2500  4 N 1.80-1.97
V2 0.8274 0.1726 0.7500  4 N 1.80-1.97
N1 0.0000 0.0000 0.0000  4 Dy 2.33
N2 0.0000 0.0000 0.5000  4 Dy 2.33
N3 0.2617 0.7383 0.1253  1 V 1.80
N4 0.2617 0.7383 0.3747  1 V 1.80
N5 0.4132 0.5868 0.7500  2 V 1.97
N6 0.5868 0.4132 0.2500  2 V 1.97
N7 0.7383 0.2617 0.6253  1 V 1.80
N8 0.7383 0.2617 0.8747  1 V 1.80

The following is a DFT calculation (PBE-GGA) of a geometry-optimized MgNiSn structure.

Calculated values
E_tot (eV for the cell shown): -11.76
Crystal system: tetragonal
Calculated volume (Å³/cell): 54
E_form (kJ/mol of formula units): -37
Total magnetization (μB/cell): 0.00

Unit cell a=5.6776 b=5.6776 c=5.6776 alpha=146.98 beta=146.98 gamma=47.40
With the nearest neighbours (Å) after each atom.
Atoms (fractional coordinates):
Mg1 0.0000 0.0000 0.0000  4 Ni 2.77, 1 Sn 2.99
Ni1 0.6510 0.6510 0.0000  4 Sn 2.69, 4 Mg 2.77
Sn1 0.2873 0.2873 0.0000  4 Ni 2.69, 1 Mg 2.99

The following is a DFT calculation (PBE-GGA) of a geometry-optimized NaMnBi structure.

Calculated values
E_tot (eV for the cell shown): -27.17
Crystal system: trigonal
Distance to the lowest polymorph of the same formula (meV/atom): 238
Calculated volume (Å³/cell): 150
E_form (kJ/mol of formula units): 76
Total magnetization (μB/cell): 1.16

Unit cell a=13.4116 b=13.4116 c=13.4116 alpha=15.47 beta=15.47 gamma=15.47
With the nearest neighbours (Å) after each atom.
Atoms (fractional coordinates):
Na1 0.1288 0.1288 0.1288  3 Bi 3.47, 9 Na 3.61-3.66
Na2 0.8712 0.8712 0.8712  3 Bi 3.47, 9 Na 3.61-3.66
Mn1 0.3219 0.3219 0.3219  3 Mn 2.27
Mn2 0.6781 0.6781 0.6781  3 Mn 2.27
Bi1 0.3923 0.3923 0.3923  4 Mn 2.80-2.81
Bi2 0.6077 0.6077 0.6077  4 Mn 2.80-2.81

The following is a DFT calculation (PBE-GGA) of a geometry-optimized Ce2NdSi6 structure.

Calculated values
Raw formation energy (kcal/mol of atoms): -14.74
E_tot (eV for the cell shown): -54.93
Crystal system: hexagonal
Calculated volume (Å³/cell): 180
Total magnetization (μB/cell): 0.00

Unit cell a=7.0724 b=7.0724 c=4.1513 alpha=90.00 beta=90.00 gamma=120.00
With the nearest neighbours (Å) after each atom.
Atoms (fractional coordinates):
Ce1 0.3333 0.6667 0.0000  12 Si 3.14
Ce2 0.6667 0.3333 0.0000  12 Si 3.14
Nd1 0.0000 0.0000 0.0000  12 Si 3.15
Si1 0.0000 0.3346 0.5000  3 Si 2.34-2.37
Si2 0.0000 0.6654 0.5000  3 Si 2.34-2.37
Si3 0.3346 0.0000 0.5000  3 Si 2.34-2.37
Si4 0.3346 0.3346 0.5000  3 Si 2.34-2.37
Si5 0.6654 0.0000 0.5000  3 Si 2.34-2.37
Si6 0.6654 0.6654 0.5000  3 Si 2.34-2.37

Q: Which of these has the lowest E_tot?
A: CaDy2VN4

Q: Which formula does entry 4 have?
A: Fe2NiIr